Entry 1:
A geometry-optimized K3Nd3VS8 structure. Source: Alexandria, functional GGA-PBE.

- E_form (uncorrected) (eV/atom) = -1.56
- symmetry = No. 166
- theoretical density (Mg/m³) = 3.36
- DFT total energy (eV/atom) = -5.539

Lattice parameters (Å, degrees): 8.0717 8.0718 8.8459 117.15 90.00 120.00
Positions (direct):
K 0.0000 0.0000 0.0000
K 0.0000 0.5000 0.0000
K 0.5000 0.5000 0.0000
Nd 0.5000 0.0000 0.5000
Nd 0.5000 0.5000 0.5000
Nd 0.0000 0.5000 0.5000
V 0.0000 0.0000 0.5000
S 0.2630 0.5261 0.2892
S 0.7370 0.4739 0.7108
S 0.7912 0.5823 0.3131
S 0.2088 0.4177 0.6869
S 0.7912 0.0219 0.3131
S 0.2088 0.9781 0.6869
S 0.2307 0.0219 0.3131
S 0.7693 0.9781 0.6869

***

Entry 2:
A geometry-optimized NaPu2Se3 structure. Source: Alexandria, functional GGA-PBE.

- E_form (uncorrected) (eV/atom) = -1.47
- symmetry = No. 71
- theoretical density (Mg/m³) = 7.96
- DFT total energy (eV/atom) = -8.214

Lattice parameters (Å, degrees): 4.1917 5.8621 7.2982 113.68 106.69 90.00
Positions (direct):
Na 0.5000 0.5000 0.5000
Pu 0.8367 0.8367 0.1734
Pu 0.1633 0.1633 0.8266
Se 0.8229 0.3229 0.1459
Se 0.1771 0.6771 0.8541
Se 0.5000 0.0000 0.5000

***

Entry 3:
A geometry-optimized SrY2Ta structure. Source: Alexandria, functional GGA-PBE.

- symmetry = No. 123
- theoretical density (Mg/m³) = 5.84
- DFT total energy (eV/atom) = -6.257
- offset from the most stable computed form (eV/f.u.) = 0.00
- formation energy (eV/atom) = 0.359

Lattice parameters (Å, degrees): 3.4452 3.4452 10.6877 90.00 90.00 90.02
Positions (direct):
Sr 0.5000 0.5000 0.2500
Ta 0.5000 0.5000 0.7500
Y 0.0000 0.0000 0.9382
Y 0.0000 0.0000 0.5618

***

Entry 4:
A geometry-optimized LiBi6Pb5 structure. Source: Alexandria, functional GGA-PBE.

- symmetry = No. 12
- theoretical density (Mg/m³) = 10.20
- DFT total energy (eV/atom) = -3.657
- formation energy (eV/atom) = -0.012

Lattice parameters (Å, degrees): 4.9384 9.4047 9.4058 107.45 105.16 105.16
Positions (direct):
Pb 0.5000 0.1613 0.8387
Pb 0.0000 0.3264 0.6736
Pb 0.5000 0.5000 0.5000
Pb 0.0000 0.6736 0.3264
Pb 0.5000 0.8387 0.1613
Bi 0.2434 0.0841 0.4066
Bi 0.7565 0.5934 0.9159
Bi 0.7384 0.2413 0.2413
Bi 0.2616 0.7587 0.7587
Bi 0.2435 0.4066 0.0841
Bi 0.7566 0.9159 0.5934
Li 0.0000 0.0000 0.0000

***

Entry 5:
A geometry-optimized CePmPbO2 structure. Source: Alexandria, functional GGA-PBE.

- E_form (uncorrected) (eV/atom) = -2.48
- symmetry = No. 107
- theoretical density (Mg/m³) = 7.93
- DFT total energy (eV/atom) = -7.341

Lattice parameters (Å, degrees): 3.9719 3.9719 7.5046 105.34 105.34 90.00
Positions (direct):
Ce 0.1658 0.1658 0.3317
Pm 0.8368 0.8368 0.6736
Pb 0.5015 0.5015 0.0031
O 0.7479 0.2479 0.4958
O 0.2479 0.7479 0.4958

***

Entry 6:
A geometry-optimized ErZrHgRh structure. Source: Alexandria, functional GGA-PBE.

- symmetry = No. 216
- theoretical density (Mg/m³) = 11.11
- DFT total energy (eV/atom) = -5.640
- formation energy (eV/atom) = -0.449

Lattice parameters (Å, degrees): 4.9165 4.9165 4.9165 60.00 60.00 60.00
Positions (direct):
Rh 0.5000 0.5000 0.5000
Hg 0.0000 0.0000 0.0000
Zr 0.7500 0.7500 0.7500
Er 0.2500 0.2500 0.2500